# 1
## GaSb2TeN (PBEsol)

Data for an optimized crystal structure of GaSb2TeN.

abc: 5.2241 5.2241 5.3726
angles: 90.00 90.00 90.00
With the nearest neighbours (Å) after each atom.
Space group P4/mmm (No. 123)
Inequivalent atoms, fractional coordinates:
1 Ga 0.0000 0.0000 0.0000 (multiplicity 1)  4 Sb 2.61, 2 Te 2.69
2 Sb 0.0000 0.5000 0.0000 (multiplicity 2)  2 Ga 2.61
3 Te 0.0000 0.0000 0.5000 (multiplicity 1)  2 Ga 2.69
4 N 0.5000 0.5000 0.5000 (multiplicity 1)  4 Te 3.69, 8 Sb 3.75

* density of states at the Fermi level: 2.95 states/eV/cell
* DFT total energy: -3.378 eV/atom
* energy relative to the elements, uncorrected: 147.0 kJ per mole of atoms

=====

# 2
## ScGaN3 (PBEsol)

Data for an optimized crystal structure of ScGaN3.

abc: 4.1081 4.1081 4.1081
angles: 90.00 90.00 90.00
With the nearest neighbours (Å) after each atom.
Space group Pm-3m (No. 221)
Inequivalent atoms, fractional coordinates:
1 Sc 0.0000 0.0000 0.0000 (multiplicity 1)  6 N 2.05
2 Ga 0.5000 0.5000 0.5000 (multiplicity 1)  12 N 2.90
3 N 0.0000 0.0000 0.5000 (multiplicity 3)  2 Sc 2.05

* density of states at the Fermi level: 4.34 states/eV/cell
* DFT total energy: -6.060 eV/atom
* energy relative to the elements, uncorrected: 100.9 kJ per mole of atoms

=====

# 3
## Sc2Ga2N (PBEsol)

Data for an optimized crystal structure of Sc2Ga2N.

abc: 5.4536 5.4536 6.1736
angles: 90.00 90.00 90.00
With the nearest neighbours (Å) after each atom.
Space group I4/mmm (No. 139)
Inequivalent atoms, fractional coordinates:
1 Sc 0.0000 0.5000 0.2500 (multiplicity 4)  4 Ga 2.75
2 Ga 0.0000 0.0000 0.1894 (multiplicity 4)  1 N 1.92
3 N 0.0000 0.0000 0.5000 (multiplicity 2)  2 Ga 1.92

* density of states at the Fermi level: 5.90 states/eV/cell
* DFT total energy: -5.349 eV/atom
* energy relative to the elements, uncorrected: 32.3 kJ per mole of atoms